(1)
This record from the Alexandria database describes CaH2S2O8 at its PBEsol-relaxed geometry. The functional is SCAN.

abc: 6.9342 14.0295 12.5614
angles: 90.00 90.00 90.00
Closest atoms and distances in Å follow each position.
Fractional positions:
Ca (0.1472, 0.1922, 0.0632)  7 O 2.34-2.61
Ca (0.1472, 0.3078, 0.5632)  7 O 2.34-2.61
Ca (0.3528, 0.6922, 0.0632)  7 O 2.34-2.61
Ca (0.3528, 0.8078, 0.5632)  7 O 2.34-2.61
Ca (0.6472, 0.1922, 0.4368)  7 O 2.34-2.61
Ca (0.6472, 0.3078, 0.9368)  7 O 2.34-2.61
Ca (0.8528, 0.6922, 0.4368)  7 O 2.34-2.61
Ca (0.8528, 0.8078, 0.9368)  7 O 2.34-2.61
H (0.0805, 0.1099, 0.6830)  1 O 1.04
H (0.0805, 0.3901, 0.1830)  1 O 1.04
H (0.1642, 0.0188, 0.3246)  1 O 1.04
H (0.1642, 0.4812, 0.8246)  1 O 1.04
H (0.3358, 0.5188, 0.3246)  1 O 1.04
H (0.3358, 0.9812, 0.8246)  1 O 1.04
H (0.4195, 0.6099, 0.6830)  1 O 1.04
H (0.4195, 0.8901, 0.1830)  1 O 1.04
H (0.5805, 0.1099, 0.8170)  1 O 1.04
H (0.5805, 0.3901, 0.3170)  1 O 1.04
H (0.6642, 0.0188, 0.1754)  1 O 1.04
H (0.6642, 0.4812, 0.6754)  1 O 1.04
H (0.8358, 0.5188, 0.1754)  1 O 1.04
H (0.8358, 0.9812, 0.6754)  1 O 1.04
H (0.9195, 0.6099, 0.8170)  1 O 1.04
H (0.9195, 0.8901, 0.3170)  1 O 1.04
S (0.1306, 0.5637, 0.6439)  4 O 1.44-1.57
S (0.1306, 0.9363, 0.1439)  4 O 1.44-1.57
S (0.1579, 0.1717, 0.3604)  4 O 1.45-1.55
S (0.1579, 0.3283, 0.8604)  4 O 1.45-1.55
S (0.3421, 0.6717, 0.3604)  4 O 1.45-1.55
S (0.3421, 0.8283, 0.8604)  4 O 1.45-1.55
S (0.3694, 0.0637, 0.6439)  4 O 1.44-1.57
S (0.3694, 0.4363, 0.1439)  4 O 1.44-1.57
S (0.6306, 0.5637, 0.8561)  4 O 1.44-1.57
S (0.6306, 0.9363, 0.3561)  4 O 1.44-1.57
S (0.6579, 0.1717, 0.1396)  4 O 1.45-1.55
S (0.6579, 0.3283, 0.6396)  4 O 1.45-1.55
S (0.8421, 0.6717, 0.1396)  4 O 1.45-1.55
S (0.8421, 0.8283, 0.6396)  4 O 1.45-1.55
S (0.8694, 0.0637, 0.8561)  4 O 1.44-1.57
S (0.8694, 0.4363, 0.3561)  4 O 1.44-1.57
O (0.0161, 0.6841, 0.0743)  1 S 1.47
O (0.0161, 0.8159, 0.5743)  1 S 1.47
O (0.0207, 0.1080, 0.9173)  1 S 1.44
O (0.0207, 0.3920, 0.4173)  1 S 1.44
O (0.0771, 0.5587, 0.7595)  2 H 1.49, 1 S 1.50
O (0.0771, 0.9413, 0.2595)  2 H 1.49, 1 S 1.50
O (0.1238, 0.1913, 0.2487)  1 S 1.45
O (0.1238, 0.3087, 0.7487)  1 S 1.45
O (0.1872, 0.7295, 0.4089)  1 S 1.48
O (0.1872, 0.7705, 0.9089)  1 S 1.48
O (0.1952, 0.1354, 0.6372)  1 H 1.04
O (0.1952, 0.3646, 0.1372)  1 H 1.04
O (0.1990, 0.0283, 0.1082)  1 S 1.45
O (0.1990, 0.4717, 0.6082)  1 S 1.45
O (0.2330, 0.0685, 0.3731)  1 H 1.04
O (0.2330, 0.4315, 0.8731)  1 H 1.04
O (0.2670, 0.5685, 0.3731)  1 H 1.04
O (0.2670, 0.9315, 0.8731)  1 H 1.04
O (0.3010, 0.5283, 0.1082)  1 S 1.45
O (0.3010, 0.9717, 0.6082)  1 S 1.45
O (0.3048, 0.6354, 0.6372)  1 H 1.04
O (0.3048, 0.8646, 0.1372)  1 H 1.04
O (0.3128, 0.2295, 0.4089)  1 S 1.48
O (0.3128, 0.2705, 0.9089)  1 S 1.48
O (0.3762, 0.6913, 0.2487)  1 S 1.45
O (0.3762, 0.8087, 0.7487)  1 S 1.45
O (0.4229, 0.0587, 0.7595)  2 H 1.49, 1 S 1.50
O (0.4229, 0.4413, 0.2595)  2 H 1.49, 1 S 1.50
O (0.4793, 0.6080, 0.9173)  1 S 1.44
O (0.4793, 0.8920, 0.4173)  1 S 1.44
O (0.4839, 0.1841, 0.0743)  1 S 1.47
O (0.4839, 0.3159, 0.5743)  1 S 1.47
O (0.5161, 0.6841, 0.4257)  1 S 1.47
O (0.5161, 0.8159, 0.9257)  1 S 1.47
O (0.5207, 0.1080, 0.5827)  1 S 1.44
O (0.5207, 0.3920, 0.0827)  1 S 1.44
O (0.5771, 0.5587, 0.7405)  2 H 1.49, 1 S 1.50
O (0.5771, 0.9413, 0.2405)  2 H 1.49, 1 S 1.50
O (0.6238, 0.1913, 0.2513)  1 S 1.45
O (0.6238, 0.3087, 0.7513)  1 S 1.45
O (0.6872, 0.7295, 0.0911)  1 S 1.48
O (0.6872, 0.7705, 0.5911)  1 S 1.48
O (0.6952, 0.1354, 0.8628)  1 H 1.04
O (0.6952, 0.3646, 0.3628)  1 H 1.04
O (0.6990, 0.0283, 0.3918)  1 S 1.45
O (0.6990, 0.4717, 0.8918)  1 S 1.45
O (0.7330, 0.0685, 0.1269)  1 H 1.04
O (0.7330, 0.4315, 0.6269)  1 H 1.04
O (0.7670, 0.5685, 0.1269)  1 H 1.04
O (0.7670, 0.9315, 0.6269)  1 H 1.04
O (0.8010, 0.5283, 0.3918)  1 S 1.45
O (0.8010, 0.9717, 0.8918)  1 S 1.45
O (0.8048, 0.6354, 0.8628)  1 H 1.04
O (0.8048, 0.8646, 0.3628)  1 H 1.04
O (0.8128, 0.2295, 0.0911)  1 S 1.48
O (0.8128, 0.2705, 0.5911)  1 S 1.48
O (0.8762, 0.6913, 0.2513)  1 S 1.45
O (0.8762, 0.8087, 0.7513)  1 S 1.45
O (0.9229, 0.0587, 0.7405)  2 H 1.49, 1 S 1.50
O (0.9229, 0.4413, 0.2405)  2 H 1.49, 1 S 1.50
O (0.9793, 0.6080, 0.5827)  1 S 1.44
O (0.9793, 0.8920, 0.0827)  1 S 1.44
O (0.9839, 0.1841, 0.4257)  1 S 1.47
O (0.9839, 0.3159, 0.9257)  1 S 1.47

Output
**Total magnetization**: 0.000 μB per formula unit
**SG**: Pbca
**DFT total energy**: -8.4287 eV/atom

=====

(2)
This record from the Alexandria database describes CaSb4H6S2O16 at its PBEsol-relaxed geometry. The functional is SCAN.

abc: 12.5476 12.5476 10.1520
angles: 95.31 95.31 25.62
Closest atoms and distances in Å follow each position.
Fractional positions:
Ca (0.2054, 0.7946, 0.7500)  8 O 2.39-2.49
Ca (0.7946, 0.2054, 0.2500)  8 O 2.39-2.49
Sb (0.1250, 0.2421, 0.2365)  3 O 1.99-2.07
Sb (0.2421, 0.1250, 0.7365)  3 O 1.99-2.07
Sb (0.2929, 0.2940, 0.5121)  4 O 2.04-2.25
Sb (0.2940, 0.2929, 0.0121)  4 O 2.04-2.25
Sb (0.7060, 0.7071, 0.9879)  4 O 2.04-2.25
Sb (0.7071, 0.7060, 0.4879)  4 O 2.04-2.25
Sb (0.7579, 0.8750, 0.2635)  3 O 1.99-2.07
Sb (0.8750, 0.7579, 0.7635)  3 O 1.99-2.07
H (0.2746, 0.6123, 0.2332)  1 O 1.00
H (0.3177, 0.4435, 0.7787)  1 O 1.03
H (0.3423, 0.5481, 0.3892)  1 O 1.01
H (0.3877, 0.7254, 0.2668)  1 O 1.00
H (0.4435, 0.3177, 0.2787)  1 O 1.03
H (0.4519, 0.6577, 0.1108)  1 O 1.01
H (0.5481, 0.3423, 0.8892)  1 O 1.01
H (0.5565, 0.6823, 0.7213)  1 O 1.03
H (0.6123, 0.2746, 0.7332)  1 O 1.00
H (0.6577, 0.4519, 0.6108)  1 O 1.01
H (0.6823, 0.5565, 0.2213)  1 O 1.03
H (0.7254, 0.3877, 0.7668)  1 O 1.00
S (0.0568, 0.1008, 0.4786)  4 O 1.48-1.50
S (0.1008, 0.0568, 0.9786)  4 O 1.48-1.50
S (0.8992, 0.9432, 0.0214)  4 O 1.48-1.50
S (0.9432, 0.8992, 0.5214)  4 O 1.48-1.50
O (0.0028, 0.1392, 0.1122)  1 S 1.48
O (0.0511, 0.4262, 0.1118)  3 Sb 2.04-2.25
O (0.0522, 0.4250, 0.3844)  3 Sb 2.05-2.22
O (0.0735, 0.8318, 0.1267)  1 S 1.49, 1 H 1.62
O (0.1266, 0.1514, 0.4622)  1 S 1.50
O (0.1392, 0.0028, 0.6122)  1 S 1.48
O (0.1514, 0.1266, 0.9622)  1 S 1.50
O (0.1682, 0.9265, 0.3733)  1 S 1.49, 1 H 1.62
O (0.2159, 0.6674, 0.5388)  1 S 1.49
O (0.2412, 0.4372, 0.7660)  1 H 1.03
O (0.3326, 0.7841, 0.9612)  1 S 1.49
O (0.4091, 0.4740, 0.2974)  2 H 1.00-1.01
O (0.4250, 0.0522, 0.8844)  3 Sb 2.05-2.22
O (0.4262, 0.0511, 0.6118)  3 Sb 2.04-2.25
O (0.4372, 0.2412, 0.2660)  1 H 1.03
O (0.4740, 0.4091, 0.7974)  2 H 1.00-1.01
O (0.5260, 0.5909, 0.2026)  2 H 1.00-1.01
O (0.5628, 0.7588, 0.7340)  1 H 1.03
O (0.5738, 0.9489, 0.3882)  3 Sb 2.04-2.25
O (0.5750, 0.9478, 0.1156)  3 Sb 2.05-2.22
O (0.5909, 0.5260, 0.7026)  2 H 1.00-1.01
O (0.6674, 0.2159, 0.0388)  1 S 1.49
O (0.7588, 0.5628, 0.2340)  1 H 1.03
O (0.7841, 0.3326, 0.4612)  1 S 1.49
O (0.8318, 0.0735, 0.6267)  1 S 1.49, 1 H 1.62
O (0.8486, 0.8734, 0.0378)  1 S 1.50
O (0.8608, 0.9972, 0.3878)  1 S 1.48
O (0.8734, 0.8486, 0.5378)  1 S 1.50
O (0.9265, 0.1682, 0.8733)  1 S 1.49, 1 H 1.62
O (0.9478, 0.5750, 0.6156)  3 Sb 2.05-2.22
O (0.9489, 0.5738, 0.8882)  3 Sb 2.04-2.25
O (0.9972, 0.8608, 0.8878)  1 S 1.48

Output
**Total magnetization**: 0.000 μB per formula unit
**SG**: C2/c
**DFT total energy**: -11.8418 eV/atom

=====

(3)
This record from the Alexandria database describes CaScSi3HO9 at its PBEsol-relaxed geometry. The functional is SCAN.

abc: 6.7665 7.0704 7.4883
angles: 104.44 93.24 92.30
Closest atoms and distances in Å follow each position.
Fractional positions:
Ca (0.1596, 0.0849, 0.3306)  6 O 2.30-2.57
Ca (0.8404, 0.9151, 0.6694)  6 O 2.30-2.57
Sc (0.1442, 0.5956, 0.3599)  6 O 2.03-2.24
Sc (0.8558, 0.4044, 0.6401)  6 O 2.03-2.24
Si (0.1324, 0.2609, 0.9573)  4 O 1.62-1.66
Si (0.3254, 0.9136, 0.7414)  4 O 1.62-1.65
Si (0.3586, 0.4783, 0.7224)  4 O 1.62-1.66
Si (0.6414, 0.5217, 0.2776)  4 O 1.62-1.66
Si (0.6746, 0.0864, 0.2586)  4 O 1.62-1.65
Si (0.8676, 0.7391, 0.0427)  4 O 1.62-1.66
H (0.4683, 0.8297, 0.3120)  1 O 1.04
H (0.5317, 0.1703, 0.6880)  1 O 1.04
O (0.0637, 0.7592, 0.1828)  1 Si 1.62
O (0.1012, 0.3273, 0.1762)  1 Si 1.62
O (0.1635, 0.8747, 0.5637)  1 Si 1.64
O (0.1706, 0.4206, 0.5633)  1 Si 1.66
O (0.2173, 0.0381, 0.9223)  2 Si 1.65-1.66
O (0.2981, 0.4079, 0.9045)  2 Si 1.63
O (0.4038, 0.7145, 0.7834)  2 Si 1.62-1.63
O (0.4450, 0.6322, 0.3522)  1 H 1.50, 1 Si 1.62
O (0.4718, 0.9700, 0.2918)  1 H 1.04
O (0.5282, 0.0300, 0.7082)  1 H 1.04
O (0.5550, 0.3678, 0.6478)  1 H 1.50, 1 Si 1.62
O (0.5962, 0.2855, 0.2166)  2 Si 1.62-1.63
O (0.7019, 0.5921, 0.0955)  2 Si 1.63
O (0.7827, 0.9619, 0.0777)  2 Si 1.65-1.66
O (0.8294, 0.5794, 0.4367)  1 Si 1.66
O (0.8365, 0.1253, 0.4363)  1 Si 1.64
O (0.8988, 0.6727, 0.8238)  1 Si 1.62
O (0.9363, 0.2408, 0.8172)  1 Si 1.62

Output
**Total magnetization**: 0.000 μB per formula unit
**SG**: P-1
**DFT total energy**: -10.6657 eV/atom

=====

(4)
This record from the Alexandria database describes CaVSi4H6O15 at its PBEsol-relaxed geometry. The functional is SCAN.

abc: 8.6127 8.6127 9.1304
angles: 90.00 90.00 74.04
Closest atoms and distances in Å follow each position.
Fractional positions:
Ca (0.2313, 0.7687, 0.5000)  7 O 2.22-2.46
Ca (0.7687, 0.2313, 0.0000)  7 O 2.22-2.46
V (0.0497, 0.9503, 0.8187)  1 O 1.59
V (0.9503, 0.0497, 0.3187)  1 O 1.59
Si (0.0673, 0.3572, 0.1915)  4 O 1.61-1.65
Si (0.1058, 0.3123, 0.8557)  4 O 1.61-1.64
Si (0.3123, 0.1058, 0.3557)  4 O 1.61-1.64
Si (0.3572, 0.0673, 0.6915)  4 O 1.61-1.65
Si (0.6428, 0.9327, 0.1915)  4 O 1.61-1.65
Si (0.6877, 0.8942, 0.8557)  4 O 1.61-1.64
Si (0.8942, 0.6877, 0.3557)  4 O 1.61-1.64
Si (0.9327, 0.6428, 0.6915)  4 O 1.61-1.65
H (0.2350, 0.4325, 0.4434)  1 O 0.98
H (0.3813, 0.6187, 0.9810)  1 O 0.97
H (0.3821, 0.4615, 0.5386)  1 O 1.07
H (0.3911, 0.6089, 0.1898)  1 O 1.10
H (0.4325, 0.2350, 0.9434)  1 O 0.98
H (0.4615, 0.3821, 0.0386)  1 O 1.07
H (0.5385, 0.6179, 0.5386)  1 O 1.07
H (0.5675, 0.7650, 0.4434)  1 O 0.98
H (0.6089, 0.3911, 0.6898)  1 O 1.10
H (0.6179, 0.5385, 0.0386)  1 O 1.07
H (0.6187, 0.3813, 0.4810)  1 O 0.97
H (0.7650, 0.5675, 0.9434)  1 O 0.98
O (0.0101, 0.1733, 0.8540)  1 Si 1.63
O (0.0170, 0.4659, 0.7569)  2 Si 1.61
O (0.0398, 0.7732, 0.7011)  1 Si 1.64
O (0.1192, 0.3733, 0.0224)  2 Si 1.62-1.63
O (0.1290, 0.8710, 0.9672)  1 V 1.59
O (0.1733, 0.0101, 0.3540)  1 Si 1.63
O (0.2268, 0.9602, 0.7011)  1 Si 1.64
O (0.2294, 0.2878, 0.2932)  2 Si 1.64-1.65
O (0.2540, 0.4966, 0.5274)  2 H 0.98-1.07
O (0.2878, 0.2294, 0.7932)  2 Si 1.64-1.65
O (0.3573, 0.6427, 0.3036)  1 H 1.10
O (0.3733, 0.1192, 0.5224)  2 Si 1.62-1.63
O (0.4465, 0.5535, 0.0578)  1 H 0.97
O (0.4659, 0.0170, 0.2569)  2 Si 1.61
O (0.4966, 0.2540, 0.0274)  2 H 0.98-1.07
O (0.5034, 0.7460, 0.5274)  2 H 0.98-1.07
O (0.5341, 0.9830, 0.7569)  2 Si 1.61
O (0.5535, 0.4465, 0.5578)  1 H 0.97
O (0.6267, 0.8808, 0.0224)  2 Si 1.62-1.63
O (0.6427, 0.3573, 0.8036)  1 H 1.10
O (0.7122, 0.7706, 0.2932)  2 Si 1.64-1.65
O (0.7460, 0.5034, 0.0274)  2 H 0.98-1.07
O (0.7706, 0.7122, 0.7932)  2 Si 1.64-1.65
O (0.7732, 0.0398, 0.2011)  1 Si 1.64
O (0.8267, 0.9899, 0.8540)  1 Si 1.63
O (0.8710, 0.1290, 0.4672)  1 V 1.59
O (0.8808, 0.6267, 0.5224)  2 Si 1.62-1.63
O (0.9602, 0.2268, 0.2011)  1 Si 1.64
O (0.9830, 0.5341, 0.2569)  2 Si 1.61
O (0.9899, 0.8267, 0.3540)  1 Si 1.63

Output
**Total magnetization**: 1.001 μB per formula unit
**SG**: Cmc2_1
**DFT total energy**: -8.9187 eV/atom

=====

(5)
This record from the Alexandria database describes CaZnSiH2O5 at its PBEsol-relaxed geometry. The functional is SCAN.

abc: 8.3268 8.3268 5.4068
angles: 93.87 93.87 144.47
Closest atoms and distances in Å follow each position.
Fractional positions:
Ca (0.0717, 0.9283, 0.5000)  6 O 2.30-2.44
Ca (0.9283, 0.0717, 0.0000)  6 O 2.30-2.44
Zn (0.3992, 0.8995, 0.8611)  4 O 1.94-1.97
Zn (0.8995, 0.3992, 0.3611)  4 O 1.94-1.97
Si (0.5229, 0.7977, 0.3813)  4 O 1.63-1.67
Si (0.7977, 0.5229, 0.8813)  4 O 1.63-1.67
H (0.2120, 0.3778, 0.5728)  1 O 1.01
H (0.3778, 0.2120, 0.0728)  1 O 1.01
H (0.4624, 0.4846, 0.7516)  1 O 1.03
H (0.4846, 0.4624, 0.2516)  1 O 1.03
O (0.1858, 0.4710, 0.3188)  1 Si 1.65, 1 H 1.71
O (0.2482, 0.3306, 0.7129)  2 H 1.01-1.03
O (0.3306, 0.2482, 0.2129)  2 H 1.01-1.03
O (0.4710, 0.1858, 0.8188)  1 Si 1.65, 1 H 1.71
O (0.5783, 0.9929, 0.2071)  1 Si 1.67
O (0.6216, 0.9397, 0.6806)  1 Si 1.63
O (0.7050, 0.7926, 0.3046)  1 H 1.62, 1 Si 1.63
O (0.7926, 0.7050, 0.8046)  1 H 1.62, 1 Si 1.63
O (0.9397, 0.6216, 0.1806)  1 Si 1.63
O (0.9929, 0.5783, 0.7071)  1 Si 1.67

Output
**Total magnetization**: 0.000 μB per formula unit
**SG**: Cc
**DFT total energy**: -9.4283 eV/atom